Compound: LiAcAlPd3
Source: Alexandria via LeMat-Bulk
Functional: PBE-GGA
Structure: relaxed

a = 6.596 Å, b = 6.072 Å, c = 6.641 Å
α = 117.21°, β = 90.00°, γ = 90.00°
Atoms (fractional coordinates):
Pd (0.500, 0.734, 0.000)
Pd (0.750, 0.828, 0.656)
Pd (0.500, 0.266, 0.000)
Pd (0.000, 0.266, 0.000)
Pd (0.250, 0.172, 0.344)
Pd (0.000, 0.734, 0.000)
Ac (0.750, 0.304, 0.607)
Ac (0.250, 0.696, 0.393)
Li (0.750, 0.051, 0.103)
Li (0.250, 0.949, 0.897)
Al (0.750, 0.615, 0.230)
Al (0.250, 0.385, 0.770)

Output
Energy of formation ... -0.60 eV per atom
DOS at the Fermi energy ... 0.514 states/eV/atom
Spin magnetization ... 0.000 μB per formula unit